one.
{
  "formula": "BaTlIN2",
  "functional": "PBE",
  "state": "relaxed",
  "cell": [[-3.6627, -2.5912, -1.5166], [3.7022, -5.0560, -0.3028], [-1.0972, -1.0718, 4.4808]],
  "species": ["I", "Tl", "Ba", "N", "N"],
  "frac_coords": [[0.0000, 0.0000, 0.0000], [0.5000, 0.5000, 0.5000], [0.0000, 0.5000, 0.0000], [0.0000, 0.0000, 0.5000], [0.5000, 0.0000, 0.0000]],
  "space_group": "No. 123",
  "magnetic_moment_mub_per_fu": 1.263
}

two.
{
  "formula": "BaTlIN2",
  "functional": "PBE",
  "state": "relaxed",
  "cell": [[4.7340, 0.0000, 0.0000], [0.0000, 4.7340, 0.0000], [0.0000, 0.0000, 6.0812]],
  "species": ["I", "Tl", "Ba", "N", "N"],
  "frac_coords": [[0.0000, 0.0000, 0.5000], [0.0000, 0.0000, 0.0000], [0.5000, 0.5000, 0.5000], [0.0000, 0.5000, 0.0000], [0.5000, 0.0000, 0.0000]],
  "space_group": "No. 123",
  "magnetic_moment_mub_per_fu": 2.118
}

three.
{
  "formula": "BaTlIN2",
  "functional": "PBE",
  "state": "relaxed",
  "cell": [[5.2666, 0.0000, 0.0000], [0.0000, 5.2666, 0.0000], [0.0000, 0.0000, 7.0540]],
  "species": ["I", "Tl", "Ba", "N", "N"],
  "frac_coords": [[0.0000, 0.0000, 0.5000], [0.5000, 0.5000, 0.5000], [0.0000, 0.0000, 0.0000], [0.0000, 0.5000, 0.0000], [0.5000, 0.0000, 0.0000]],
  "space_group": "No. 123",
  "magnetic_moment_mub_per_fu": 4.000
}

Each structure's energy above the most stable one, in kJ/mol of atoms: one 62.0; two 0.0; three 1.8.

one.
{
  "formula": "BaVIN2",
  "functional": "PBE",
  "state": "relaxed",
  "cell": [[4.2865, 0.0000, 0.0000], [0.0000, 4.2865, 0.0000], [0.0000, 0.0000, 5.3217]],
  "species": ["I", "N", "N", "Ba", "V"],
  "frac_coords": [[0.0000, 0.0000, 0.5000], [0.0000, 0.5000, 0.0000], [0.5000, 0.0000, 0.0000], [0.5000, 0.5000, 0.5000], [0.0000, 0.0000, 0.0000]],
  "space_group": "No. 123",
  "magnetic_moment_mub_per_fu": 0.000
}

two.
{
  "formula": "BaVIN2",
  "functional": "PBE",
  "state": "relaxed",
  "cell": [[-0.1674, -0.0780, -4.5563], [0.6017, -4.5198, 0.0553], [-6.5955, -0.8749, 0.2573]],
  "species": ["I", "N", "N", "Ba", "V"],
  "frac_coords": [[0.0000, 0.0000, 0.5000], [0.0000, 0.5000, 0.0000], [0.5000, 0.0000, 0.0000], [0.0000, 0.0000, 0.0000], [0.5000, 0.5000, 0.5000]],
  "space_group": "No. 123",
  "magnetic_moment_mub_per_fu": 0.789
}

Each structure's energy above the most stable one, in kJ/mol of atoms: one 0.0; two 180.0.

one.
{
  "formula": "BaWIN2",
  "functional": "PBE",
  "state": "relaxed",
  "cell": [[-3.1248, -2.2101, -1.9113], [1.9006, -3.6629, 1.1282], [-2.8851, -0.0325, 4.7545]],
  "species": ["I", "Ba", "W", "N", "N"],
  "frac_coords": [[0.0000, 0.0000, 0.5000], [0.5000, 0.5000, 0.5000], [0.0000, 0.0000, 0.0000], [0.0000, 0.5000, 0.0000], [0.5000, 0.0000, 0.0000]],
  "space_group": "No. 123",
  "magnetic_moment_mub_per_fu": 0.064
}

two.
{
  "formula": "BaWIN2",
  "functional": "PBE",
  "state": "relaxed",
  "cell": [[-4.3635, 0.8552, 0.7581], [-0.7978, -0.1371, -4.4375], [-1.2714, -6.8781, 0.4412]],
  "species": ["I", "Ba", "W", "N", "N"],
  "frac_coords": [[0.0000, 0.0000, 0.5000], [0.0000, 0.0000, 0.0000], [0.5000, 0.5000, 0.5000], [0.0000, 0.5000, 0.0000], [0.5000, 0.0000, 0.0000]],
  "space_group": "No. 123",
  "magnetic_moment_mub_per_fu": 4.560
}

Each structure's energy above the most stable one, in kJ/mol of atoms: one 0.0; two 216.4.

one.
{
  "formula": "BaWI2N",
  "functional": "PBE",
  "state": "relaxed",
  "cell": [[-0.5092, -3.8248, 4.4096], [2.2682, -4.2082, -3.3881], [3.6241, 0.9518, 1.2441]],
  "species": ["I", "I", "Ba", "W", "N"],
  "frac_coords": [[0.0000, 0.5000, 0.0000], [0.5000, 0.0000, 0.0000], [0.5000, 0.5000, 0.5000], [0.0000, 0.0000, 0.0000], [0.0000, 0.0000, 0.5000]],
  "space_group": "No. 123",
  "magnetic_moment_mub_per_fu": 0.076
}

two.
{
  "formula": "BaWI2N",
  "functional": "PBE",
  "state": "relaxed",
  "cell": [[-5.7106, 1.5634, -3.2843], [-3.3486, -4.6471, 3.6102], [-1.1252, 3.6985, 3.7170]],
  "species": ["I", "I", "Ba", "W", "N"],
  "frac_coords": [[0.0000, 0.5000, 0.0000], [0.5000, 0.0000, 0.0000], [0.0000, 0.0000, 0.0000], [0.5000, 0.5000, 0.5000], [0.0000, 0.0000, 0.5000]],
  "space_group": "No. 123",
  "magnetic_moment_mub_per_fu": 7.727
}

Each structure's energy above the most stable one, in kJ/mol of atoms: one 0.0; two 166.1.